UTcSb2 | PBE | optimized geometry

Computed properties:
Formation energy (no corrections) = -0.041 eV per atom
Total magnetization = 0.29 μB/f.u.

Cell lengths 3.8566, 8.5254, 5.8436 Å; angles 90.00, 107.67, 90.00 degrees
Closest atoms and distances in Å follow each position.
Space group P2_1/m (No. 11)
Asymmetric unit:
1 U 0.0620 0.2500 0.0994 x2  1 Tc 2.29
2 Tc 0.1558 0.7500 0.5768 x2  1 U 2.29
3 Sb 0.3777 0.0572 0.7363 x4  2 Tc 2.82-2.83, 1 Sb 3.09